No. 1
Material: Ag2MoBr
Method: DFT, GGA-PBE
State: relaxed

Cell: 3.1960 4.8509 9.8432 Å, 90.00 90.00 90.00°
Last column: nearest neighbours and their distance in Å.
Space group Cmmm (No. 65)
Asymmetric unit:
Ag (0.0000, 0.0000, 0.2361) (multiplicity 4)  2 Mo 2.82, 4 Ag 2.90, 2 Br 3.05
Mo (0.0000, 0.5000, 0.0000) (multiplicity 2)  4 Ag 2.82, 4 Mo 2.90
Br (0.0000, 0.5000, 0.5000) (multiplicity 2)  6 Br 2.90-3.20, 4 Ag 3.05

No. 2
Material: AgMo2Br
Method: DFT, GGA-PBE
State: relaxed

Cell: 3.1308 4.8080 11.0237 Å, 90.00 90.00 90.00°
Last column: nearest neighbours and their distance in Å.
Space group Imm2 (No. 44)
Asymmetric unit:
Ag (0.0000, 0.0000, 0.0000) (multiplicity 2)  6 Mo 2.87-2.99, 2 Ag 3.13
Mo (0.0000, 0.0000, 0.5001) (multiplicity 2)  2 Mo 2.37
Mo (0.0000, 0.5000, 0.8392) (multiplicity 2)  2 Mo 2.37
Br (0.0000, 0.5000, 0.2281) (multiplicity 2)  6 Mo 2.96-3.12, 2 Br 3.13

No. 3
Material: AgMoBr
Method: DFT, GGA-PBE
State: relaxed

Cell: 3.1361 3.1361 7.1237 Å, 90.00 90.00 120.00°
Last column: nearest neighbours and their distance in Å.
Space group P3m1 (No. 156)
Asymmetric unit:
Ag (0.0000, 0.0000, 0.0000) (multiplicity 1)  3 Mo 2.88, 6 Ag 3.14
Mo (0.3333, 0.6667, 0.6863) (multiplicity 1)  3 Br 2.56
Br (0.6667, 0.3333, 0.4325) (multiplicity 1)  3 Mo 2.56

No. 4
Material: Ag2MoBr
Method: DFT, GGA-PBE
State: relaxed

Cell: 3.9548 3.9548 10.5903 Å, 90.00 90.00 90.00°
Last column: nearest neighbours and their distance in Å.
Space group I4/mmm (No. 139)
Asymmetric unit:
Ag (0.0000, 0.5000, 0.2500) (multiplicity 4)  4 Ag 2.80
Mo (0.0000, 0.0000, 0.0000) (multiplicity 2)  4 Br 2.80
Br (0.0000, 0.0000, 0.5000) (multiplicity 2)  4 Mo 2.80

No. 5
Material: Ag2MoBr
Method: DFT, GGA-PBE
State: relaxed

Cell: 4.3683 2.9411 11.8294 Å, 90.00 90.00 90.00°
Last column: nearest neighbours and their distance in Å.
Space group Amm2 (No. 38)
Asymmetric unit:
Ag (0.0000, 0.0000, 0.0000) (multiplicity 2)  1 Mo 2.88, 6 Ag 2.94-2.95, 4 Br 3.20
Ag (0.5000, 0.0000, 0.3874) (multiplicity 2)  6 Ag 2.94-2.95, 4 Mo 3.06, 3 Br 3.13-3.16
Mo (0.0000, 0.0000, 0.7563) (multiplicity 2)  2 Br 2.50
Br (0.5000, 0.0000, 0.6541) (multiplicity 2)  2 Mo 2.50

No. 6
Material: Ag2Mo2Br
Method: DFT, GGA-PBE
State: relaxed

Cell: 3.8279 3.8279 13.4323 Å, 90.00 90.00 90.00°
Last column: nearest neighbours and their distance in Å.
Space group I4/mmm (No. 139)
Asymmetric unit:
Ag (0.0000, 0.5000, 0.2500) (multiplicity 4)  4 Ag 2.71, 4 Mo 2.93
Mo (0.0000, 0.0000, 0.0847) (multiplicity 4)  1 Mo 2.27
Br (0.0000, 0.0000, 0.5000) (multiplicity 2)  8 Mo 2.94

No. 7
Material: AgMo2Br
Method: DFT, GGA-PBE
State: relaxed

Cell: 3.2854 4.9603 5.3937 Å, 90.00 100.27 90.00°
Last column: nearest neighbours and their distance in Å.
Space group P2/m (No. 10)
Asymmetric unit:
Ag (0.0000, 0.0000, 0.0000) (multiplicity 1)  4 Mo 2.77, 2 Br 2.90
Mo (0.3177, 0.5000, 0.1604) (multiplicity 2)  2 Mo 2.27-2.46
Br (0.5000, 0.0000, 0.5000) (multiplicity 1)  2 Ag 2.90, 4 Mo 3.08

No. 8
Material: AgMo2Br
Method: DFT, GGA-PBE
State: relaxed

Cell: 5.4949 8.8534 2.8803 Å, 90.00 90.00 90.00°
Last column: nearest neighbours and their distance in Å.
Space group Cmmm (No. 65)
Asymmetric unit:
Ag (0.0000, 0.0000, 0.0000) (multiplicity 2)  2 Br 2.75, 2 Ag 2.88, 8 Mo 2.98
Mo (0.2500, 0.2500, 0.5000) (multiplicity 4)  4 Mo 2.75-2.88, 4 Br 2.98, 4 Ag 2.98
Br (0.0000, 0.5000, 0.0000) (multiplicity 2)  2 Ag 2.75, 2 Br 2.88, 8 Mo 2.98

No. 9
Material: AgMo2Br
Method: DFT, GGA-PBE
State: relaxed

Cell: 3.2898 5.0417 9.2398 Å, 90.00 90.00 90.00°
Last column: nearest neighbours and their distance in Å.
Space group Cmm2 (No. 35)
Asymmetric unit:
Ag (0.0000, 0.0000, 0.0000) (multiplicity 2)  2 Mo 2.88, 4 Ag 3.01, 2 Br 3.20
Mo (0.0000, 0.0000, 0.5440) (multiplicity 2)  2 Mo 2.48
Mo (0.0000, 0.5000, 0.7445) (multiplicity 2)  2 Mo 2.48
Br (0.0000, 0.5000, 0.2970) (multiplicity 2)  2 Mo 2.81, 4 Br 3.01

No. 10
Material: AgMoBr
Method: DFT, GGA-PBE
State: relaxed

Cell: 4.6145 4.6145 2.9882 Å, 90.00 90.00 120.00°
Last column: nearest neighbours and their distance in Å.
Space group P-6m2 (No. 187)
Asymmetric unit:
Ag (0.0000, 0.0000, 0.0000) (multiplicity 1)  2 Ag 2.99, 6 Mo 3.05, 6 Br 3.05
Mo (0.3333, 0.6667, 0.5000) (multiplicity 1)  3 Br 2.66
Br (0.6667, 0.3333, 0.5000) (multiplicity 1)  3 Mo 2.66

No. 11
Material: AgMo2Br
Method: DFT, GGA-PBE
State: relaxed

Cell: 3.3025 3.1548 7.9626 Å, 90.00 94.36 90.00°
Last column: nearest neighbours and their distance in Å.
Space group Pm (No. 6)
Asymmetric unit:
Ag (0.0000, 0.0000, 0.0000) (multiplicity 1)  5 Mo 2.95-3.18, 2 Br 3.10, 2 Ag 3.15
Mo (0.0395, 0.0000, 0.4004) (multiplicity 1)  4 Mo 2.51-2.72, 2 Br 2.65
Mo (0.5625, 0.5000, 0.2409) (multiplicity 1)  4 Mo 2.51-2.72
Br (0.0741, 0.5000, 0.6691) (multiplicity 1)  2 Mo 2.65

No. 12
Material: Ag2MoBr
Method: DFT, GGA-PBE
State: relaxed

Cell: 2.9906 2.9906 29.5134 Å, 90.00 90.00 120.00°
Last column: nearest neighbours and their distance in Å.
Space group R-3m (No. 166, hexagonal axes)
Asymmetric unit:
Ag (0.0000, 0.0000, 0.2449) (multiplicity 6)  3 Mo 2.88, 6 Ag 2.99, 3 Br 3.13
Mo (0.0000, 0.0000, 0.5000) (multiplicity 3)  6 Ag 2.88, 6 Mo 2.99
Br (0.0000, 0.0000, 0.0000) (multiplicity 3)  6 Br 2.99, 6 Ag 3.13

Number 1: distance to the lowest polymorph of the same formula 213 meV/atom. Number 2: distance to the lowest polymorph of the same formula 334 meV/atom. Number 3: distance to the lowest polymorph of the same formula 0 meV/atom. Number 4: distance to the lowest polymorph of the same formula 499 meV/atom. Number 5: distance to the lowest polymorph of the same formula 229 meV/atom. Number 6: distance to the lowest polymorph of the same formula 269 meV/atom. Number 7: distance to the lowest polymorph of the same formula 416 meV/atom. Number 8: distance to the lowest polymorph of the same formula 743 meV/atom. Number 9: distance to the lowest polymorph of the same formula 122 meV/atom. Number 10: distance to the lowest polymorph of the same formula 437 meV/atom. Number 11: distance to the lowest polymorph of the same formula 21 meV/atom. Number 12: distance to the lowest polymorph of the same formula 191 meV/atom.